1) A geometry-optimized LiY2Hg3 structure. Source: Alexandria via LeMat-Bulk, functional PBE.

Properties
Volume in Å³ per cell: 286.4

```
LiY2Hg3
1.0
5.136 0.000 0.000
-2.568 4.448 0.000
0.000 0.000 12.535
Li Y Hg
2 4 6
direct
0.333 0.667 0.165 Li
0.667 0.333 0.835 Li
0.000 0.000 0.000 Y
0.000 0.000 0.500 Y
0.333 0.667 0.680 Y
0.667 0.333 0.320 Y
0.000 0.000 0.246 Hg
0.000 0.000 0.754 Hg
0.333 0.667 0.411 Hg
0.333 0.667 0.925 Hg
0.667 0.333 0.075 Hg
0.667 0.333 0.589 Hg
```



2) A geometry-optimized LiY2Hg3 structure. Source: Alexandria via LeMat-Bulk, functional PBE.

Properties
Volume in Å³ per cell: 282.7

```
LiY2Hg3
1.0
0.000 4.856 8.424
3.455 0.000 8.424
3.455 4.856 0.000
Li Y Hg
2 4 6
direct
0.167 0.167 0.833 Li
0.833 0.833 0.167 Li
0.250 0.250 0.250 Y
0.253 0.747 0.747 Y
0.747 0.253 0.253 Y
0.750 0.750 0.750 Y
0.149 0.676 0.324 Hg
0.324 0.851 0.149 Hg
0.326 0.326 0.674 Hg
0.674 0.674 0.326 Hg
0.676 0.149 0.851 Hg
0.851 0.324 0.676 Hg
```



Result of the stability comparison: 1) is the most stable of them.



1) A geometry-optimized LiYHg2 structure. Source: Alexandria via LeMat-Bulk, functional PBE.

Properties
Volume in Å³ per cell: 191.4

```
LiYHg2
1.0
10.527 0.000 0.000
0.000 3.584 0.000
-0.980 0.000 5.074
Li Y Hg
2 2 4
direct
0.000 0.000 0.000 Li
0.500 0.500 0.000 Li
0.233 0.000 0.632 Y
0.733 0.500 0.632 Y
0.243 0.500 0.128 Hg
0.493 0.000 0.462 Hg
0.743 0.000 0.128 Hg
0.993 0.500 0.462 Hg
```



2) A geometry-optimized LiYHg2 structure. Source: Alexandria via LeMat-Bulk, functional PBE.

Properties
Volume in Å³ per cell: 414.4

```
LiYHg2
1.0
4.655 0.000 0.000
0.000 4.655 0.000
0.000 0.000 19.126
Li Y Hg
4 4 8
direct
0.000 0.000 0.000 Li
0.000 0.500 0.250 Li
0.500 0.000 0.750 Li
0.500 0.500 0.500 Li
0.000 0.000 0.500 Y
0.000 0.500 0.750 Y
0.500 0.000 0.250 Y
0.500 0.500 0.000 Y
0.193 0.250 0.125 Hg
0.250 0.693 0.375 Hg
0.250 0.807 0.875 Hg
0.307 0.250 0.625 Hg
0.693 0.750 0.625 Hg
0.750 0.193 0.875 Hg
0.750 0.307 0.375 Hg
0.807 0.750 0.125 Hg
```



3) A geometry-optimized LiYHg2 structure. Source: Alexandria via LeMat-Bulk, functional PBE.

Properties
Volume in Å³ per cell: 308.0

```
LiYHg2
1.0
3.617 0.000 0.000
-1.809 3.133 0.000
0.000 0.000 27.179
Li Y Hg
3 3 6
direct
0.000 0.000 0.000 Li
0.333 0.667 0.667 Li
0.667 0.333 0.333 Li
0.000 0.000 0.765 Y
0.333 0.667 0.431 Y
0.667 0.333 0.098 Y
0.000 0.000 0.269 Hg
0.000 0.000 0.518 Hg
0.333 0.667 0.185 Hg
0.333 0.667 0.935 Hg
0.667 0.333 0.602 Hg
0.667 0.333 0.852 Hg
```



4) A geometry-optimized LiYHg2 structure. Source: Alexandria via LeMat-Bulk, functional PBE.

Properties
Volume in Å³ per cell: 359.7

```
LiYHg2
1.0
7.112 0.000 0.000
0.000 7.112 0.000
0.000 0.000 7.112
Li Y Hg
4 4 8
direct
0.000 0.000 0.000 Li
0.000 0.500 0.500 Li
0.500 0.000 0.500 Li
0.500 0.500 0.000 Li
0.000 0.000 0.500 Y
0.000 0.500 0.000 Y
0.500 0.000 0.000 Y
0.500 0.500 0.500 Y
0.250 0.250 0.250 Hg
0.250 0.250 0.750 Hg
0.250 0.750 0.250 Hg
0.250 0.750 0.750 Hg
0.750 0.250 0.250 Hg
0.750 0.250 0.750 Hg
0.750 0.750 0.250 Hg
0.750 0.750 0.750 Hg
```



Result of the stability comparison: 4) is the most stable of them.